This record from Alexandria describes crystalline Pm2CrF8 at its relaxed geometry. The functional is PBE+U.

abc: 6.242 6.242 4.593
angles: 104.34 104.34 72.74
Element x y z (fractional)
Pm (0.176, 0.176, 0.380)
Pm (0.824, 0.824, 0.620)
Cr (0.500, 0.500, 0.000)
F (0.079, 0.079, 0.802)
F (0.153, 0.541, 0.732)
F (0.370, 0.370, 0.246)
F (0.459, 0.847, 0.268)
F (0.541, 0.153, 0.732)
F (0.630, 0.630, 0.754)
F (0.847, 0.459, 0.268)
F (0.921, 0.921, 0.198)

Output
E above lowest polymorph = 0.00 kcal/mol of atoms
space group = C2/m, No. 12
N(E_F) = 0.000 states/eV per atom
volume = 14.8 Å³/atom
E = -6.5659 eV/atom